[1]
A plane-wave DFT calculation with GGA-PBE was carried out for a relaxed LiAl2Ag crystal.

Volume in Å³ per atom: 16.88
Final energy in eV/atom: -3.1349
D(E_F) in states/eV per cell: 1.4
Total magnetic moment in μB per formula unit: 0.00

Cell: 2.8567 2.8567 8.2730 Å, 90.00 90.00 90.00°
Space group P4/mmm (No. 123)
Unique sites:
Li1 0.0000 0.0000 0.0000 x1
Al1 0.5000 0.5000 0.2532 x2
Ag1 0.0000 0.0000 0.5000 x1

---

[2]
A plane-wave DFT calculation with GGA-PBE was carried out for a relaxed Dy5GaCo2 crystal.

Volume in Å³ per atom: 23.18
Final energy in eV/atom: -5.3176
D(E_F) in states/eV per cell: 35.1
Total magnetic moment in μB per formula unit: 0.00

Cell: 7.5157 7.5157 13.1332 Å, 90.00 90.00 90.00°
Space group I4/mcm (No. 140)
Unique sites:
Dy1 0.0000 0.0000 0.0000 x4
Dy2 0.1643 0.3357 0.1363 x16
Ga1 0.0000 0.0000 0.2500 x4
Co1 0.1288 0.3712 0.5000 x8